A plane-wave DFT calculation with PBE with a Hubbard U was carried out for an optimized crystal structure of Ag3MoF6.

Output
Calculated density, g/cm3: 4.91
Crystal system: trigonal
SG: R-3c
Final energy, eV/cell: -86.1
Total moment, μB per formula unit: 3.00

Unit cell a=7.138 b=7.138 c=7.138 alpha=94.15 beta=94.15 gamma=94.15
Fractional positions:
F 0.016 0.294 0.982
Ag 0.441 0.059 0.750
F 0.482 0.794 0.516
Ag 0.059 0.750 0.441
F 0.982 0.016 0.294
F 0.018 0.984 0.706
F 0.984 0.706 0.018
F 0.484 0.518 0.206
F 0.794 0.516 0.482
Mo 0.500 0.500 0.500
Mo 0.000 0.000 0.000
F 0.706 0.018 0.984
F 0.294 0.982 0.016
Ag 0.750 0.441 0.059
F 0.516 0.482 0.794
Ag 0.559 0.941 0.250
Ag 0.250 0.559 0.941
F 0.206 0.484 0.518
F 0.518 0.206 0.484
Ag 0.941 0.250 0.559